[1]
LiScFeTc2: optimized geometry, PBE.

CIF file:
```
data_LiScFeTc2
_cell_length_a 4.126
_cell_length_b 4.126
_cell_length_c 4.313
_cell_angle_alpha 90.00
_cell_angle_beta 90.00
_cell_angle_gamma 90.00
_symmetry_space_group_name_H-M 'P 4/m m m'
_symmetry_Int_Tables_number 123
_symmetry_space_group_name_Hall '-P 4 2'
loop_
_atom_site_label
_atom_site_fract_x
_atom_site_fract_y
_atom_site_fract_z
Li1 0.000 0.000 0.000
Sc1 0.000 0.000 0.500
Fe1 0.500 0.500 0.500
Tc1 0.000 0.500 0.000
```

Computed properties:
ΔH_f (0 K) ... 1.203 eV/atom
DOS(E_F) ... 8.2 states/eV per cell
Final energy ... -31.43 eV per cell
Crystal system ... tetragonal
M_tot ... 0.00 μB/f.u.

[2]
Ho2Zn5Rh4: optimized geometry, PBE.

CIF file:
```
data_Ho2Zn5Rh4
_cell_length_a 5.268
_cell_length_b 8.982
_cell_length_c 16.467
_cell_angle_alpha 90.00
_cell_angle_beta 90.00
_cell_angle_gamma 90.00
_symmetry_space_group_name_H-M 'F m m m'
_symmetry_Int_Tables_number 69
_symmetry_space_group_name_Hall '-F 2 2'
loop_
_atom_site_label
_atom_site_fract_x
_atom_site_fract_y
_atom_site_fract_z
Ho1 0.000 0.000 0.143
Zn1 0.000 0.000 0.500
Zn2 0.250 0.250 0.000
Zn3 0.250 0.250 0.250
Rh1 0.000 0.161 0.373
```

Computed properties:
ΔH_f (0 K) ... -0.468 eV/atom
DOS(E_F) ... 39.8 states/eV per cell
Final energy ... -200.32 eV per cell
Crystal system ... orthorhombic
M_tot ... 0.00 μB/f.u.

[3]
Ba2CuAgAu: optimized geometry, PBE.

CIF file:
```
data_Ba2CuAgAu
_cell_length_a 6.203
_cell_length_b 6.203
_cell_length_c 5.216
_cell_angle_alpha 90.00
_cell_angle_beta 90.00
_cell_angle_gamma 90.00
_symmetry_space_group_name_H-M 'P 4/m m m'
_symmetry_Int_Tables_number 123
_symmetry_space_group_name_Hall '-P 4 2'
loop_
_atom_site_label
_atom_site_fract_x
_atom_site_fract_y
_atom_site_fract_z
Ba1 0.000 0.500 0.000
Cu1 0.000 0.000 0.500
Ag1 0.500 0.500 0.500
Au1 0.500 0.500 0.000
```

Computed properties:
ΔH_f (0 K) ... 0.029 eV/atom
DOS(E_F) ... 4.7 states/eV per cell
Final energy ... -13.92 eV per cell
Crystal system ... tetragonal
M_tot ... 0.00 μB/f.u.

- ΔH_f (0 K) of number 2 (Ho2Zn5Rh4)?
  -0.468 eV/atom

What did the third record say?
Ba2CuAgAu: optimized geometry, PBE.

CIF file:
```
data_Ba2CuAgAu
_cell_length_a 6.203
_cell_length_b 6.203
_cell_length_c 5.216
_cell_angle_alpha 90.00
_cell_angle_beta 90.00
_cell_angle_gamma 90.00
_symmetry_space_group_name_H-M 'P 4/m m m'
_symmetry_Int_Tables_number 123
_symmetry_space_group_name_Hall '-P 4 2'
loop_
_atom_site_label
_atom_site_fract_x
_atom_site_fract_y
_atom_site_fract_z
Ba1 0.000 0.500 0.000
Cu1 0.000 0.000 0.500
Ag1 0.500 0.500 0.500
Au1 0.500 0.500 0.000
```

Computed properties:
ΔH_f (0 K) ... 0.029 eV/atom
DOS(E_F) ... 4.7 states/eV per cell
Final energy ... -13.92 eV per cell
Crystal system ... tetragonal
M_tot ... 0.00 μB/f.u.